Entry 1:
Compound: BeSiAg2
Source: Alexandria
Functional: PBE
Structure: relaxed

For the raw total energy, the calculation gives -13.4 eV/cell. The space group is Immm, No. 71. The calculation puts the density of states at the Fermi level at 1.1 states/eV/cell.

The structure in extended XYZ format:
```
4
Lattice="5.281 -0.013 0.042 2.338 4.735 -0.042 -3.111 -3.488 2.459" Properties=species:S:1:pos:R:3 pbc="T T T"
Ag 7.403 4.588 0.000
Ag 4.026 2.495 0.000
Si 1.518 1.804 1.208
Be 2.990 -0.570 1.250
```



Entry 2:
Compound: BeSi2Ag
Source: Alexandria
Functional: PBE
Structure: relaxed

For the raw total energy, the calculation gives -15.8 eV/cell. The space group is Cmmm, No. 65. The calculation puts the density of states at the Fermi level at 0.8 states/eV/cell.

The structure in extended XYZ format:
```
4
Lattice="2.763 -0.001 0.000 -0.350 2.741 0.000 0.000 0.000 7.599" Properties=species:S:1:pos:R:3 pbc="T T T"
Si 0.000 0.000 7.226
Si 0.000 0.000 4.172
Ag 1.207 1.370 1.900
Be 1.207 1.370 5.699
```